The following is a PBE calculation of a relaxed structure of PuThBi, from Alexandria.

Output
DFT formation energy, meV per atom: -278.3
Crystal system: orthorhombic
Raw total energy, eV/cell: -105.9
Magnetic moment, Bohr magnetons per cell: 0.12

a = 4.871 Å, b = 15.695 Å, c = 4.554 Å
α = 90.00°, β = 90.00°, γ = 90.00°
Space group Cmmm (No. 65)
Asymmetric unit:
Pu (0.000, 0.000, 0.000) [2 per cell]
Pu (0.000, 0.500, 0.500) [2 per cell]
Th (0.000, 0.163, 0.500) [4 per cell]
Bi (0.000, 0.348, 0.000) [4 per cell]